# 1
Th2UZn: relaxed, PBE.

```
Th2UZn
1.0
1.620 0.935 11.620
-1.620 0.935 11.620
0.000 -1.870 11.620
Th U Zn
2 1 1
Cartesian
0.000 0.000 3.211
0.000 0.000 31.649
0.000 0.000 0.000
0.000 0.000 17.430
```

DFT total energy: -6.401 eV/atom
Formation enthalpy at 0 K: 0.4497 eV per atom
Symmetry: R-3m

# 2
BaSr4Ca6: relaxed, PBE.

```
BaSr4Ca6
1.0
12.632 0.000 0.000
-6.316 10.940 0.000
0.000 0.000 4.049
Ba Sr Ca
1 4 6
Cartesian
0.000 0.000 0.000
0.000 4.171 2.024
-2.704 8.854 2.024
2.704 8.854 2.024
6.316 3.647 0.000
3.337 1.926 2.024
6.316 0.028 0.000
3.182 5.456 0.000
9.295 1.926 2.024
6.316 7.087 2.024
9.450 5.456 0.000
```

DFT total energy: -1.769 eV/atom
Formation enthalpy at 0 K: 0.1091 eV per atom
Symmetry: P-6m2

# 3
ZrH: relaxed, PBE.

```
ZrH
1.0
3.594 0.000 0.000
0.000 10.726 0.000
0.000 0.000 4.018
Zr H
6 6
Cartesian
0.898 0.890 0.950
0.898 4.473 0.950
0.898 8.044 1.088
2.695 2.681 2.929
2.695 6.253 3.067
2.695 9.835 3.067
0.898 2.681 3.945
0.898 6.215 2.042
0.898 9.873 2.042
2.695 0.852 1.976
2.695 4.510 1.976
2.695 8.044 0.073
```

DFT total energy: -6.331 eV/atom
Symmetry: Pmmn

# 4
TaMn3I: relaxed, PBE.

```
TaMn3I
1.0
4.475 0.000 0.000
0.000 4.475 0.000
0.000 0.000 4.475
Ta Mn I
1 3 1
Cartesian
0.000 0.000 0.000
0.000 2.238 2.238
2.238 0.000 2.238
2.238 2.238 0.000
2.238 2.238 2.238
```

DFT total energy: -6.180 eV/atom
Symmetry: Pm-3m

# 5
Y3Tm3Si4: relaxed, PBE.

```
Y3Tm3Si4
1.0
4.211 0.000 0.000
0.000 5.245 5.244
0.000 -5.245 5.244
Y Tm Si
3 3 4
Cartesian
0.000 0.000 0.000
0.000 -1.847 7.076
0.000 1.847 7.076
0.000 0.000 3.679
2.106 -2.622 4.458
2.106 2.622 4.458
2.106 -1.229 1.852
2.106 1.229 1.852
2.106 0.000 5.823
2.106 0.000 8.309
```

DFT total energy: -6.177 eV/atom
Symmetry: Amm2

# 6
Ac5MgTe8: relaxed, PBE.

```
Ac5MgTe8
1.0
-4.942 4.942 5.032
4.942 -4.942 5.032
4.942 4.942 -5.032
Ac Mg Te
5 1 8
Cartesian
0.000 0.000 0.000
3.679 2.462 -1.185
2.480 -1.264 6.217
1.264 2.480 3.848
2.462 6.206 1.185
4.942 0.000 2.516
6.687 0.790 -0.598
1.856 -0.665 2.937
3.086 5.607 -2.095
0.790 3.197 0.598
4.278 3.086 2.095
4.152 1.745 5.631
-1.745 4.152 4.434
0.665 1.856 7.128
```

DFT total energy: -4.825 eV/atom
Symmetry: I-4

# 7
Hf2GeC: relaxed, PBE.

```
Hf2GeC
1.0
1.625 0.938 7.996
-1.625 0.938 7.996
0.000 -1.876 7.996
Hf Ge C
2 1 1
Cartesian
0.000 0.000 2.722
0.000 0.000 21.268
0.000 0.000 0.000
0.000 0.000 11.995
```

DFT total energy: -8.783 eV/atom
Formation enthalpy at 0 K: -0.3455 eV per atom
Symmetry: R-3m

# 8
MgIr2Br: relaxed, PBE.

```
MgIr2Br
1.0
1.478 0.853 8.682
-1.478 0.853 8.682
0.000 -1.707 8.682
Mg Ir Br
1 2 1
Cartesian
0.000 0.000 0.000
0.000 0.000 6.518
0.000 0.000 19.526
0.000 0.000 13.022
```

DFT total energy: -4.821 eV/atom
Symmetry: R-3m